{
  "formula": "KAlNi2F8",
  "functional": "PBE+U",
  "state": "optimized geometry",
  "cell": [[4.954, 0.000, 0.000], [0.909, 4.872, 0.000], [1.093, 0.928, 6.817]],
  "species": ["K", "Al", "Ni", "Ni", "F", "F", "F", "F", "F", "F", "F", "F"],
  "fractional_positions": [[0.000, 0.000, 0.000], [0.000, 0.000, 0.500], [0.453, 0.453, 0.233], [0.547, 0.547, 0.767], [0.199, 0.786, 0.690], [0.211, 0.798, 0.312], [0.245, 0.241, 0.453], [0.341, 0.336, 0.999], [0.659, 0.664, 0.001], [0.755, 0.759, 0.547], [0.789, 0.202, 0.688], [0.801, 0.214, 0.310]],
  "e_tot_ev_per_atom": -4.752,
  "volume_a3_per_cell": 165,
  "n_ef_per_ev_fu": 0.0
}